No. 1
## TcCl (PBE-GGA)

Data for a geometry-optimized TcCl structure.

Computed properties:
- ΔE_f (raw) (eV/atom) = 0.77
- E (eV per atom) = -5.3336
- size of the total moment (μB/atom) = 0.000
- space group = P-6m2, No. 187
- relative energy among the computed polymorphs (meV per atom) = 899
- DOS(E_F) (states/eV per atom) = 0.993

Cell and atoms, written as POSCAR:
```
TcCl
1.0
-0.452 -1.678 2.371
2.735 0.459 -0.977
0.301 3.291 2.387
Cl Tc
1 1
Direct
0.000 0.000 0.000
0.667 0.333 0.500
```

No. 2
## CaSi2As (PBE-GGA)

Data for a geometry-optimized CaSi2As structure.

Computed properties:
- ΔE_f (raw) (eV/atom) = -0.17
- E (eV per atom) = -4.5424
- size of the total moment (μB/atom) = 0.000
- space group = Cm, No. 8
- DOS(E_F) (states/eV per atom) = 0.348

Cell and atoms, written as POSCAR:
```
CaSi2As
1.0
-1.471 2.841 3.819
-3.996 0.503 2.933
0.979 -2.714 4.374
As Ca Si
1 1 2
Direct
0.481 0.481 0.596
0.255 0.255 0.243
0.025 0.025 0.906
0.739 0.739 0.755
```

No. 3
## ReHgTe2 (PBE-GGA)

Data for a geometry-optimized ReHgTe2 structure.

Computed properties:
- ΔE_f (raw) (eV/atom) = 0.26
- E (eV per atom) = -4.5019
- size of the total moment (μB/atom) = 0.000
- space group = P4/mmm, No. 123
- relative energy among the computed polymorphs (meV per atom) = 34
- DOS(E_F) (states/eV per atom) = 0.554

Cell and atoms, written as POSCAR:
```
ReHgTe2
1.0
-0.211 -1.667 -2.773
2.505 -1.843 0.917
-6.266 -6.373 4.306
Hg Re Te
1 1 2
Direct
0.500 0.500 0.250
0.500 0.500 0.750
0.000 0.000 0.920
0.000 0.000 0.580
```

No. 4
## Lu2PuPd (PBE-GGA)

Data for a geometry-optimized Lu2PuPd structure.

Computed properties:
- E (eV per atom) = -7.3390
- size of the total moment (μB/atom) = 1.634
- space group = P4/mmm, No. 123
- energy of formation from the pure elements (eV/atom) = -0.197
- relative energy among the computed polymorphs (meV per atom) = 199
- DOS(E_F) (states/eV per atom) = 2.184

Cell and atoms, written as POSCAR:
```
Lu2PuPd
1.0
-3.269 -0.418 1.272
0.511 -5.104 -0.362
1.881 -0.151 4.784
Lu Pd Pu
2 1 1
Direct
0.000 0.000 0.500
0.000 0.500 0.000
0.500 0.000 0.000
0.500 0.500 0.500
```

Question: Which value of size of the total moment does entry 4 give?
Answer: 1.634 μB/atom